No. 1
A plane-wave DFT calculation with PBE-GGA was carried out for FeBPdW after structural relaxation.

Structure (CIF):
```
data_FeBPdW
_chemical_formula_sum 'Fe1 B1 Pd1 W1'
_symmetry_space_group_name_H-M 'P 1'
_symmetry_Int_Tables_number 1
_symmetry_space_group_name_Hall 'P 1'
_cell_length_a 4.1474
_cell_length_b 4.1474
_cell_length_c 4.1474
_cell_angle_alpha 60.00
_cell_angle_beta 60.00
_cell_angle_gamma 60.00
loop_
_atom_site_label
_atom_site_fract_x
_atom_site_fract_y
_atom_site_fract_z
B1 0.0000 0.0000 0.0000
Fe1 0.7500 0.7500 0.7500
Pd1 0.5000 0.5000 0.5000
W1 0.2500 0.2500 0.2500
```

---

No. 2
A plane-wave DFT calculation with PBE-GGA was carried out for GaCoCuSb after structural relaxation.

Structure (CIF):
```
data_GaCoCuSb
_chemical_formula_sum 'Ga1 Co1 Cu1 Sb1'
_symmetry_space_group_name_H-M 'P 1'
_symmetry_Int_Tables_number 1
_symmetry_space_group_name_Hall 'P 1'
_cell_length_a 4.4170
_cell_length_b 4.4170
_cell_length_c 4.4170
_cell_angle_alpha 60.00
_cell_angle_beta 60.00
_cell_angle_gamma 60.00
loop_
_atom_site_label
_atom_site_fract_x
_atom_site_fract_y
_atom_site_fract_z
Co1 0.2500 0.2500 0.2500
Cu1 0.7500 0.7500 0.7500
Ga1 0.0000 0.0000 0.0000
Sb1 0.5000 0.5000 0.5000
```

---

No. 3
# ZrZnFeCu (PBE-GGA, optimized geometry)
# Formation enthalpy at 0 K = 0.07 eV per atom
data_ZrZnFeCu
_chemical_formula_sum 'Zr1 Zn1 Fe1 Cu1'
_symmetry_space_group_name_H-M 'P 1'
_symmetry_Int_Tables_number 1
_symmetry_space_group_name_Hall 'P 1'
_cell_length_a 4.3999
_cell_length_b 4.3999
_cell_length_c 4.3999
_cell_angle_alpha 60.00
_cell_angle_beta 60.00
_cell_angle_gamma 60.00
loop_
_atom_site_label
_atom_site_fract_x
_atom_site_fract_y
_atom_site_fract_z
Cu1 0.7500 0.7500 0.7500
Fe1 0.5000 0.5000 0.5000
Zn1 0.0000 0.0000 0.0000
Zr1 0.2500 0.2500 0.2500

---

Number 1: calculated volume 50.4 Å³/cell, relative energy among the computed polymorphs 0.000 eV/atom. Number 2: calculated volume 60.9 Å³/cell, relative energy among the computed polymorphs 0.000 eV/atom. Number 3: calculated volume 60.2 Å³/cell, relative energy among the computed polymorphs 0.091 eV/atom.